[1]
The following is a DFT calculation (PBE-GGA) of a relaxed structure of Sr2Tc.

- Density: 4306 kg/m³
- Fermi-level density of states: 16.0 states/eV/cell
- Polymorph energy (0 for the lowest one): 1.295 eV/atom
- E_tot: -36.0 eV for the cell shown
- Formation energy: 1.573 eV/atom

abc: 6.807 6.807 10.504
angles: 90.00 90.00 120.00
Positions (direct):
Tc: 0.333 0.667 0.015
Sr: 0.000 0.000 0.000
Sr: 0.820 0.640 0.250
Sr: 0.360 0.180 0.250
Tc: 0.333 0.667 0.485
Sr: 0.180 0.820 0.750
Tc: 0.667 0.333 0.985
Sr: 0.180 0.360 0.750
Sr: 0.820 0.180 0.250
Sr: 0.000 0.000 0.500
Tc: 0.667 0.333 0.515
Sr: 0.640 0.820 0.750



[2]
The following is a DFT calculation (PBE-GGA) of a relaxed structure of Sr5Tc.

- Density: 3428 kg/m³
- Fermi-level density of states: 7.8 states/eV/cell
- Polymorph energy (0 for the lowest one): 0.000 eV/atom
- E_tot: -16.3 eV for the cell shown
- Formation energy: 0.417 eV/atom

abc: 7.364 7.364 10.278
angles: 67.10 67.10 30.61
Positions (direct):
Sr: 0.379 0.379 0.878
Sr: 0.664 0.664 0.732
Sr: 0.621 0.621 0.122
Sr: 0.336 0.336 0.268
Sr: 0.000 0.000 0.500
Tc: 0.000 0.000 0.000



[3]
The following is a DFT calculation (PBE-GGA) of a relaxed structure of SrTc.

- Density: 5147 kg/m³
- Fermi-level density of states: 16.2 states/eV/cell
- Polymorph energy (0 for the lowest one): 0.639 eV/atom
- E_tot: -61.6 eV for the cell shown
- Formation energy: 0.887 eV/atom

abc: 3.694 5.228 18.608
angles: 90.00 90.00 90.00
Positions (direct):
Tc: 0.000 0.507 0.500
Sr: 0.500 0.500 0.162
Tc: 0.000 0.000 0.787
Sr: 0.500 0.006 0.500
Tc: 0.500 0.000 0.713
Tc: 0.500 0.000 0.287
Sr: 0.500 0.500 0.838
Sr: 0.000 0.500 0.662
Tc: 0.000 0.000 0.213
Sr: 0.000 0.500 0.338
Sr: 0.000 0.994 0.000
Tc: 0.500 0.493 0.000



[4]
The following is a DFT calculation (PBE-GGA) of a relaxed structure of SrTc.

- Density: 5765 kg/m³
- Fermi-level density of states: 3.9 states/eV/cell
- Polymorph energy (0 for the lowest one): 0.186 eV/atom
- E_tot: -22.4 eV for the cell shown
- Formation energy: 0.435 eV/atom

abc: 3.345 3.346 10.170
angles: 69.93 90.00 90.00
Positions (direct):
Tc: 0.000 0.569 0.429
Sr: 0.500 0.811 0.677
Sr: 0.000 0.939 0.073
Tc: 0.500 0.181 0.321